Material: Ca2NbGe
Method: DFT, GGA-PBE
State: optimized geometry

Structure (extended XYZ):
```
8
Lattice="8.518 0.000 0.000 0.000 8.518 0.000 4.259 4.259 2.825" Properties=species:S:1:pos:R:3 pbc="T T T"
Ge 4.259 4.259 0.000
Nb 8.518 4.259 1.413
Nb 0.000 0.000 0.000
Ca 2.477 6.388 0.706
Ge 4.259 8.518 1.413
Ca 6.041 2.129 0.706
Ca 10.647 10.300 2.119
Ca 6.388 6.736 2.119
```

Crystal system: tetragonal
VASP energy in eV/atom: -4.181

=====

Material: CaNbGe3
Method: DFT, GGA-PBE
State: optimized geometry

Structure (extended XYZ):
```
5
Lattice="-1.590 -2.004 -4.326 1.295 -4.570 1.641 -4.588 -0.595 1.963" Properties=species:S:1:pos:R:3 pbc="T T T"
Nb 0.000 0.000 0.000
Ge -2.294 -0.298 0.981
Ca -2.442 -3.585 -0.361
Ge 0.647 -2.285 0.820
Ge -0.795 -1.002 -2.163
```

Crystal system: cubic
VASP energy in eV/atom: -5.246

=====

Material: Ca3NbGe
Method: DFT, GGA-PBE
State: optimized geometry

Structure (extended XYZ):
```
5
Lattice="-3.684 1.445 4.018 -0.406 -5.401 1.570 4.251 0.737 3.632" Properties=species:S:1:pos:R:3 pbc="T T T"
Ca -1.842 0.722 2.009
Ge 0.000 0.000 0.000
Ca -0.203 -2.701 0.785
Ca 2.126 0.368 1.816
Nb 0.081 -1.610 4.611
```

Crystal system: cubic
VASP energy in eV/atom: -3.585
Energy relative to the lowest polymorph listed for this composition in meV per atom: 0

=====

Material: Ca3NbGe
Method: DFT, GGA-PBE
State: optimized geometry

Structure (extended XYZ):
```
5
Lattice="-3.522 -1.382 3.979 -2.373 -3.634 -3.363 3.481 -3.877 1.734" Properties=species:S:1:pos:R:3 pbc="T T T"
Ca 1.740 -1.938 0.867
Ge -1.207 -4.447 1.175
Nb 0.000 0.000 0.000
Ca -1.761 -0.691 1.990
Ca -1.187 -1.817 -1.681
```

Crystal system: cubic
VASP energy in eV/atom: -3.127
Energy relative to the lowest polymorph listed for this composition in meV per atom: 458

=====

Material: CaNb2Ge2
Method: DFT, GGA-PBE
State: optimized geometry

Structure (extended XYZ):
```
10
Lattice="-2.479 3.408 6.954 -7.603 0.318 -2.866 -0.530 -2.650 1.110" Properties=species:S:1:pos:R:3 pbc="T T T"
Ge -8.202 1.243 2.901
Nb -2.413 2.138 3.953
Ca -5.041 1.863 2.044
Nb -6.877 3.208 4.378
Ge -4.764 1.584 5.354
Nb -7.669 1.589 0.135
Ca 0.000 0.000 0.000
Ge -5.847 -0.508 -0.156
Ge -2.409 -0.167 2.297
Nb -3.205 0.519 -0.290
```

Crystal system: tetragonal
VASP energy in eV/atom: -6.437
Energy relative to the lowest polymorph listed for this composition in meV per atom: 271

=====

Material: CaNb2Ge2
Method: DFT, GGA-PBE
State: optimized geometry

Structure (extended XYZ):
```
5
Lattice="4.066 0.000 0.000 0.000 4.066 0.000 2.033 2.033 6.110" Properties=species:S:1:pos:R:3 pbc="T T T"
Ge 4.066 4.066 4.851
Ge 2.033 2.033 1.259
Ca 0.000 0.000 0.000
Nb 2.033 4.066 3.055
Nb 4.066 2.033 3.055
```

Crystal system: tetragonal
VASP energy in eV/atom: -6.709
Energy relative to the lowest polymorph listed for this composition in meV per atom: 0

=====

Material: Ca2NbNiGe
Method: DFT, GGA-PBE
State: optimized geometry

Structure (extended XYZ):
```
5
Lattice="5.602 0.000 0.000 0.000 4.333 0.000 0.000 0.000 5.602" Properties=species:S:1:pos:R:3 pbc="T T T"
Ca 0.000 0.000 2.801
Ge 0.000 0.000 0.000
Ca 2.801 0.000 0.000
Ni 0.000 2.166 0.000
Nb 2.801 2.166 2.801
```

Crystal system: tetragonal
VASP energy in eV/atom: -4.283

=====

Material: Ca2NbGe4Pt3
Method: DFT, GGA-PBE
State: optimized geometry

Structure (extended XYZ):
```
10
Lattice="-0.166 -2.235 3.565 4.207 -0.049 0.165 -0.122 9.376 5.875" Properties=species:S:1:pos:R:3 pbc="T T T"
Ge 0.000 0.000 0.000
Nb 1.960 3.546 4.802
Pt -0.061 4.688 2.937
Pt -0.189 7.055 6.903
Ca -0.113 1.188 3.227
Ca 2.012 7.046 4.513
Ge -0.162 4.910 5.559
Ge 2.060 3.324 2.181
Ge 2.021 -1.142 1.865
Pt 2.088 1.179 0.837
```

Crystal system: tetragonal
VASP energy in eV/atom: -5.777

=====

Material: Ca2NbGe3Pt4
Method: DFT, GGA-PBE
State: optimized geometry

Structure (extended XYZ):
```
10
Lattice="-2.211 -1.948 2.938 0.756 -3.650 -1.851 9.210 -1.202 6.133" Properties=species:S:1:pos:R:3 pbc="T T T"
Ge 4.605 -0.601 3.066
Ge 6.851 -2.012 6.767
Ca 7.401 -2.741 3.751
Ge 1.632 -1.988 -0.091
Ca 1.082 -1.260 2.926
Nb 3.878 -3.400 3.610
Pt 3.672 -2.255 1.268
Pt 4.810 -1.746 5.408
Pt -0.727 -2.799 0.544
Pt 0.000 0.000 0.000
```

Crystal system: tetragonal
VASP energy in eV/atom: -5.959

=====

Material: CaZrNbGe2
Method: DFT, GGA-PBE
State: optimized geometry

Structure (extended XYZ):
```
5
Lattice="5.240 0.000 0.000 0.000 5.000 0.000 0.000 0.000 5.240" Properties=species:S:1:pos:R:3 pbc="T T T"
Ge 0.000 0.000 2.620
Nb 0.000 2.500 0.000
Zr 0.000 0.000 0.000
Ge 2.620 0.000 0.000
Ca 2.620 2.500 2.620
```

Crystal system: tetragonal
VASP energy in eV/atom: -5.441

=====

Material: Ca3Nd2Ge4
Method: DFT, GGA-PBE
State: optimized geometry

Structure (extended XYZ):
```
18
Lattice="-2.077 -3.832 -6.177 7.935 0.970 -0.631 1.156 -6.918 3.903" Properties=species:S:1:pos:R:3 pbc="T T T"
Ge 6.036 -1.713 -4.365
Ge 3.521 -3.627 -1.161
Ge 7.588 -2.872 0.458
Ca 1.314 -8.333 -1.586
Ca 2.929 -1.431 -3.404
Ge -0.574 -6.909 -3.363
Ca 4.545 -2.974 1.636
Nd 1.618 -1.449 0.084
Nd 5.396 -8.332 -2.989
Ca 5.700 -1.447 -1.319
Ge 4.837 -6.067 2.377
Nd 6.295 -5.582 -0.371
Nd 0.719 -4.199 -2.534
Ge 0.978 -8.067 1.461
Ca 2.185 -5.418 0.938
Ca 4.829 -4.363 -3.843
Ge 2.177 -3.713 -5.281
Ge 3.493 -6.154 -1.744
```

Crystal system: monoclinic
VASP energy in eV/atom: -4.525

=====

Material: CaNdGe4
Method: DFT, GGA-PBE
State: optimized geometry

Structure (extended XYZ):
```
24
Lattice="-1.440 -3.950 0.630 0.457 -1.571 -8.802 14.418 -4.993 1.640" Properties=species:S:1:pos:R:3 pbc="T T T"
Ge 5.834 -5.494 -6.770
Ca 6.018 -2.280 -0.545
Nd 1.913 -0.834 -0.859
Nd 12.962 -5.730 -6.303
Ge 10.717 -6.536 -2.146
Ge 7.602 -5.020 0.239
Ge 12.920 -7.568 -3.583
Nd 9.239 -3.735 -2.299
Ge 6.268 -4.918 -2.171
Ge 13.367 -7.036 0.772
Ge 0.516 -2.946 -2.948
Ge 0.069 -3.478 -7.303
Ca 13.328 -5.126 -1.681
Ca 8.857 -4.284 -6.616
Ge 7.167 -5.596 -4.361
Ge 11.020 -6.256 0.300
Ge 3.900 -4.066 -2.235
Ge 2.416 -4.258 -6.831
Nd 5.636 -2.830 -4.862
Ge 2.718 -3.978 -4.385
Ge 9.535 -6.449 -4.296
Ge 3.349 -3.490 0.114
Ca 1.546 -1.438 -5.481
Ge 10.087 -7.024 -6.645
```

Crystal system: orthorhombic
VASP energy in eV/atom: -4.584
Energy relative to the lowest polymorph listed for this composition in meV per atom: 0

=====

Material: Ca2Nd2Ge3
Method: DFT, GGA-PBE
State: optimized geometry

Structure (extended XYZ):
```
7
Lattice="4.302 0.000 0.000 -2.151 6.786 0.083 0.000 -3.519 6.702" Properties=species:S:1:pos:R:3 pbc="T T T"
Nd 0.000 1.209 1.836
Ca 2.151 4.477 1.661
Nd 2.151 2.057 4.949
Ca 0.000 -1.210 5.124
Ge 0.000 3.728 3.722
Ge 2.151 -0.462 3.063
Ge 2.151 0.000 0.000
```

Crystal system: monoclinic
VASP energy in eV/atom: -4.474

=====

Material: CaNd2Ge2
Method: DFT, GGA-PBE
State: optimized geometry

Structure (extended XYZ):
```
10
Lattice="-3.969 0.419 -1.938 2.394 -4.496 -5.875 -2.518 -6.302 3.796" Properties=species:S:1:pos:R:3 pbc="T T T"
Nd -3.266 -4.853 0.561
Ge 0.559 -7.858 -2.844
Nd -2.436 -8.021 -1.823
Ge 1.183 -3.514 -3.181
Ca -0.062 -5.399 -1.040
Nd -0.827 -5.526 -4.578
Ca 0.000 0.000 0.000
Nd -1.657 -2.358 -2.194
Ge -1.307 -7.284 1.102
Ge -0.683 -2.939 0.764
```

Crystal system: tetragonal
VASP energy in eV/atom: -4.914

=====

Material: CaNd3Ge4
Method: DFT, GGA-PBE
State: optimized geometry

Structure (extended XYZ):
```
8
Lattice="4.200 0.000 0.000 0.000 6.384 -0.737 -2.100 -2.251 8.517" Properties=species:S:1:pos:R:3 pbc="T T T"
Ge 2.100 2.223 1.910
Ca 2.100 0.000 0.000
Ge 2.100 4.653 1.629
Ge 0.000 1.909 5.870
Nd 0.000 3.192 -0.369
Nd 2.100 3.764 4.581
Nd 0.000 0.368 3.199
Ge 0.000 -0.520 6.151
```

Crystal system: orthorhombic
VASP energy in eV/atom: -4.988

=====

Material: CaNdGe
Method: DFT, GGA-PBE
State: optimized geometry

Structure (extended XYZ):
```
3
Lattice="3.563 0.000 0.000 0.000 3.563 0.000 -1.782 -1.782 8.217" Properties=species:S:1:pos:R:3 pbc="T T T"
Ca 1.782 1.782 7.144
Ge 1.782 1.782 4.278
Nd 0.000 0.000 2.547
```

Crystal system: tetragonal
VASP energy in eV/atom: -3.769

=====

Material: CaNdGe4
Method: DFT, GGA-PBE
State: optimized geometry

Structure (extended XYZ):
```
6
Lattice="5.730 0.000 0.000 2.865 4.962 0.000 2.865 1.654 4.678" Properties=species:S:1:pos:R:3 pbc="T T T"
Ge 7.162 4.135 2.924
Nd 2.865 1.654 1.170
Ge 5.730 1.654 2.924
Ge 4.297 4.135 2.924
Ge 5.730 3.308 0.585
Ca 0.000 0.000 0.000
```

Crystal system: cubic
VASP energy in eV/atom: -4.569
Energy relative to the lowest polymorph listed for this composition in meV per atom: 16

=====

Material: CaNdGe
Method: DFT, GGA-PBE
State: optimized geometry

Structure (extended XYZ):
```
18
Lattice="8.571 0.072 0.090 -1.458 8.446 0.090 -1.458 -1.747 8.264" Properties=species:S:1:pos:R:3 pbc="T T T"
Ge -0.220 1.490 5.164
Nd 1.582 3.440 6.849
Nd 2.551 0.557 4.838
Ge 4.680 0.625 2.576
Nd 4.072 3.331 1.595
Ca 6.926 5.749 0.481
Ca -2.004 6.676 5.716
Ca 1.233 8.006 0.686
Nd 0.093 4.155 3.598
Ca 7.657 0.095 2.728
Ge 0.974 6.147 5.868
Ca -1.273 1.023 7.964
Nd 5.561 2.616 4.846
Ca 4.420 -1.234 7.759
Ge 5.874 5.281 3.281
Ge 1.506 5.030 1.170
Nd 3.103 6.214 3.607
Ge 4.148 1.742 7.275
```

Crystal system: trigonal
VASP energy in eV/atom: -4.259

=====

Material: CaNdGe
Method: DFT, GGA-PBE
State: optimized geometry

Structure (extended XYZ):
```
3
Lattice="5.063 0.000 0.000 2.531 4.384 0.000 2.531 1.461 4.134" Properties=species:S:1:pos:R:3 pbc="T T T"
Ge 2.531 1.461 1.033
Ca 5.063 2.923 2.067
Nd 0.000 0.000 0.000
```

Crystal system: cubic
VASP energy in eV/atom: -4.332

=====

Material: CaNdGe
Method: DFT, GGA-PBE
State: optimized geometry

Structure (extended XYZ):
```
6
Lattice="3.465 0.006 0.002 -0.016 7.314 0.084 -1.727 -1.848 6.951" Properties=species:S:1:pos:R:3 pbc="T T T"
Nd 0.387 6.538 2.658
Ca 0.401 2.842 2.701
Ca 0.398 2.856 6.352
Ge 2.129 4.703 4.517
Ge 2.136 1.001 4.537
Nd 0.412 -0.840 6.395
```

Crystal system: triclinic
VASP energy in eV/atom: -4.194

=====

Material: CaNdNiGe
Method: DFT, GGA-PBE
State: optimized geometry

Structure (extended XYZ):
```
4
Lattice="-4.334 -1.654 1.971 -2.289 -4.033 -1.973 -0.110 -4.339 2.561" Properties=species:S:1:pos:R:3 pbc="T T T"
Ni -1.683 -2.507 0.640
Ca 0.000 0.000 0.000
Ge -5.050 -7.520 1.919
Nd -3.366 -5.013 1.279
```

Crystal system: cubic
VASP energy in eV/atom: -4.671

=====

Material: CaNd2GeO6
Method: DFT, GGA-PBE
State: optimized geometry

Structure (extended XYZ):
```
10
Lattice="5.015 0.000 0.000 0.000 5.453 0.000 0.000 0.000 5.453" Properties=species:S:1:pos:R:3 pbc="T T T"
O 3.645 1.249 4.203
Ge 3.026 0.000 0.000
Nd 0.003 2.726 0.000
Ca 2.837 2.726 2.726
O 3.645 1.249 1.249
O 0.627 2.726 2.726
Nd 0.003 0.000 2.726
O 3.645 4.203 4.203
O 3.645 4.203 1.249
O 1.226 0.000 0.000
```

Crystal system: tetragonal
VASP energy in eV/atom: -7.282
Energy relative to the elements, uncorrected in eV/atom: -2.691

=====

Material: CaNd2Ge3Pd4
Method: DFT, GGA-PBE
State: optimized geometry

Structure (extended XYZ):
```
10
Lattice="-1.596 -0.272 3.996 3.833 -1.353 1.438 3.009 10.568 1.921" Properties=species:S:1:pos:R:3 pbc="T T T"
Ge 1.505 5.284 0.961
Ge 1.845 9.144 3.685
Ge 2.283 0.611 0.953
Ca 2.623 4.471 3.678
Nd 4.254 7.531 2.211
Pd 1.118 -0.813 2.717
Pd 1.180 6.808 3.261
Nd -0.126 2.224 2.427
Pd 0.000 0.000 0.000
Pd 2.948 2.947 1.378
```

Crystal system: tetragonal
VASP energy in eV/atom: -5.399

=====

Material: CaNdGe2Pd5
Method: DFT, GGA-PBE
State: optimized geometry

Structure (extended XYZ):
```
9
Lattice="-1.280 -1.555 3.796 2.462 -3.472 -0.592 7.009 4.268 4.112" Properties=species:S:1:pos:R:3 pbc="T T T"
Ge 6.641 1.171 5.152
Pd 6.331 1.370 2.696
Ca 0.000 0.000 0.000
Ge 1.549 -1.930 2.164
Nd 3.504 2.134 2.056
Pd 3.139 -0.574 0.824
Pd 4.095 -0.379 3.658
Pd 4.460 2.328 4.890
Pd 1.268 0.385 3.018
```

Crystal system: tetragonal
VASP energy in eV/atom: -5.420

=====

Respective M_tot values: 3.58 0.00 4.97 0.00 0.00 0.00 3.83 0.00 0.00 1.38 0.00 0.00 0.00 0.00 0.00 0.00 0.00 1.49 0.00 0.00 0.00 0.00 0.00 0.00 μB per cell.